No. 1
## TmMgSc2Pd4 (PBE)

Data for crystalline TmMgSc2Pd4 at its relaxed geometry.

```
data_TmMgSc2Pd4
_cell_length_a 4.6959
_cell_length_b 4.6959
_cell_length_c 23.0819
_cell_angle_alpha 90.00
_cell_angle_beta 90.00
_cell_angle_gamma 120.00
_symmetry_space_group_name_H-M 'R -3 m'
_symmetry_Int_Tables_number 166
_symmetry_space_group_name_Hall '-R 3 2"'
loop_
_atom_site_label
_atom_site_type_symbol
_atom_site_fract_x
_atom_site_fract_y
_atom_site_fract_z
Tm1 Tm 0.0000 0.0000 0.0000
Mg1 Mg 0.0000 0.0000 0.5000
Sc1 Sc 0.0000 0.0000 0.2455
Pd1 Pd 0.0000 0.0000 0.1247
Pd2 Pd 0.0000 0.0000 0.3763
```

raw total energy = -139.26 eV for the cell shown
density = 8.0 g cm⁻³
formation enthalpy at 0 K = -865.0 meV per atom
Fermi-level density of states = 15.17 states/eV/cell
size of the total moment = 0.00 μB/cell



No. 2
## TmMg2ScPd4 (PBE)

Data for crystalline TmMg2ScPd4 at its relaxed geometry.

```
data_TmMg2ScPd4
_cell_length_a 4.6554
_cell_length_b 4.6554
_cell_length_c 22.9865
_cell_angle_alpha 90.00
_cell_angle_beta 90.00
_cell_angle_gamma 120.00
_symmetry_space_group_name_H-M 'R -3 m'
_symmetry_Int_Tables_number 166
_symmetry_space_group_name_Hall '-R 3 2"'
loop_
_atom_site_label
_atom_site_type_symbol
_atom_site_fract_x
_atom_site_fract_y
_atom_site_fract_z
Tm1 Tm 0.0000 0.0000 0.0000
Mg1 Mg 0.0000 0.0000 0.2481
Sc1 Sc 0.0000 0.0000 0.5000
Pd1 Pd 0.0000 0.0000 0.1265
Pd2 Pd 0.0000 0.0000 0.3785
```

raw total energy = -124.35 eV for the cell shown
density = 7.9 g cm⁻³
formation enthalpy at 0 K = -835.9 meV per atom
Fermi-level density of states = 12.45 states/eV/cell
size of the total moment = 0.00 μB/cell



No. 3
## YMgSc2Pd2 (PBE)

Data for crystalline YMgSc2Pd2 at its relaxed geometry.

```
data_YMgSc2Pd2
_cell_length_a 4.7835
_cell_length_b 4.7835
_cell_length_c 6.3432
_cell_angle_alpha 90.00
_cell_angle_beta 90.00
_cell_angle_gamma 120.00
_symmetry_space_group_name_H-M 'P -3 m 1'
_symmetry_Int_Tables_number 164
_symmetry_space_group_name_Hall '-P 3 2"'
loop_
_atom_site_label
_atom_site_type_symbol
_atom_site_fract_x
_atom_site_fract_y
_atom_site_fract_z
Y1 Y 0.0000 0.0000 0.0000
Mg1 Mg 0.0000 0.0000 0.5000
Sc1 Sc 0.3333 0.6667 0.6808
Pd1 Pd 0.3333 0.6667 0.2457
```

raw total energy = -34.82 eV for the cell shown
density = 5.5 g cm⁻³
formation enthalpy at 0 K = -618.2 meV per atom
Fermi-level density of states = 4.50 states/eV/cell
size of the total moment = 0.00 μB/cell



No. 4
## YMgScPd2 (PBE)

Data for crystalline YMgScPd2 at its relaxed geometry.

```
data_YMgScPd2
_cell_length_a 4.722
_cell_length_b 4.722
_cell_length_c 5.210
_cell_angle_alpha 90.00
_cell_angle_beta 90.00
_cell_angle_gamma 90.00
_symmetry_space_group_name_H-M 'P 4/m m m'
_symmetry_Int_Tables_number 123
_symmetry_space_group_name_Hall '-P 4 2'
loop_
_atom_site_label
_atom_site_type_symbol
_atom_site_fract_x
_atom_site_fract_y
_atom_site_fract_z
Y1 Y 0.000 0.000 0.000
Mg1 Mg 0.000 0.000 0.500
Sc1 Sc 0.500 0.500 0.000
Pd1 Pd 0.000 0.500 0.500
```

raw total energy = -23.14 eV for the cell shown
density = 5.3 g cm⁻³
formation enthalpy at 0 K = 327.2 meV per atom
Fermi-level density of states = 6.13 states/eV/cell
size of the total moment = 0.32 μB/cell



What is the formula in the first record?
TmMgSc2Pd4



size of the total moment of number 1 (TmMgSc2Pd4)?
0.00 μB/cell